Computed, not measured: TlHgTe2I after structural relaxation at the PBE-GGA level of DFT.

It has space group P4/mmm (No. 123), with a = 5.8964 Å, b = 5.8964 Å, c = 6.1701 Å, α = 90.00°, β = 90.00° and γ = 90.00°. The asymmetric unit holds Tl at (0.0000, 0.0000, 0.0000), Hg at (0.5000, 0.5000, 0.5000), Te at (0.0000, 0.5000, 0.0000) and I at (0.0000, 0.0000, 0.5000).

The value obtained for the energy above the lowest structure with this stoichiometry is 0.246 eV per atom. The value obtained for the total magnetization is 1.539 μB/f.u. The calculation puts the formation energy (no corrections) at 381 meV per atom.